Entry 1:
Material: AlSiIr2
Method: DFT, PBEsol
State: relaxed

E_form (uncorrected)	-0.97	eV per formula unit
SG	P4mm, No. 99

Structure (POSCAR):
```
AlSiIr2
1.0
-0.837 -1.878 1.883
2.524 0.059 1.182
-2.208 5.439 4.442
Ir Al Si
2 1 1
Direct
0.500 0.500 0.267 Ir
0.000 0.000 0.993 Ir
0.500 0.500 0.770 Al
0.000 0.000 0.470 Si
```

=====

Entry 2:
Material: Al2SiIr
Method: DFT, PBEsol
State: relaxed

E_form (uncorrected)	-1.10	eV per formula unit
SG	Pmm2, No. 25

Structure (POSCAR):
```
Al2SiIr
1.0
2.868 0.000 0.000
0.000 3.684 0.000
0.000 0.000 5.308
Al Ir Si
2 1 1
Direct
0.500 0.500 0.261 Al
0.000 0.000 0.991 Al
0.000 0.000 0.494 Ir
0.500 0.500 0.754 Si
```

=====

Entry 3:
Material: Sm2Al9Ir3
Method: DFT, PBEsol
State: relaxed

ΔE_f	-0.859	eV/atom
SG	Cmcm, No. 63

Structure (POSCAR):
```
Sm2Al9Ir3
1.0
-3.644 6.501 -1.020
-2.035 -6.044 -3.989
-6.164 -2.393 6.770
Al Ir Sm
18 6 4
Direct
0.999 0.665 0.574 Al
0.129 0.129 0.250 Al
0.665 0.999 0.926 Al
0.871 0.871 0.750 Al
0.335 0.001 0.074 Al
0.333 0.333 0.549 Al
0.660 0.451 0.750 Al
0.001 0.335 0.074 Al
0.999 0.665 0.926 Al
0.340 0.549 0.250 Al
0.451 0.660 0.750 Al
0.667 0.667 0.451 Al
0.665 0.999 0.574 Al
0.333 0.333 0.951 Al
0.549 0.340 0.250 Al
0.335 0.001 0.426 Al
0.667 0.667 0.049 Al
0.001 0.335 0.426 Al
0.671 0.329 0.500 Ir
0.329 0.671 0.000 Ir
0.671 0.329 0.000 Ir
0.329 0.671 0.500 Ir
0.000 0.000 0.500 Ir
0.000 0.000 0.000 Ir
0.995 0.671 0.250 Sm
0.005 0.329 0.750 Sm
0.671 0.995 0.250 Sm
0.329 0.005 0.750 Sm
```

=====

Entry 4:
Material: AlSn3Ir
Method: DFT, PBEsol
State: relaxed

ΔE_f	1.160	eV/atom
SG	Pm-3m, No. 221

Structure (POSCAR):
```
AlSn3Ir
1.0
5.004 0.000 0.000
0.000 5.004 0.000
0.000 0.000 5.004
Ir Al Sn
1 1 3
Direct
0.500 0.500 0.500 Ir
0.000 0.000 0.000 Al
0.000 0.500 0.000 Sn
0.000 0.000 0.500 Sn
0.500 0.000 0.000 Sn
```

=====

Entry 5:
Material: Sr2AlIr
Method: DFT, PBEsol
State: relaxed

ΔE_f	-0.401	eV/atom
SG	Cm, No. 8

Structure (POSCAR):
```
Sr2AlIr
1.0
4.273 0.000 0.000
-2.136 3.693 -0.029
0.000 -2.379 8.087
Sr Al Ir
2 1 1
Direct
0.039 0.078 0.115 Sr
0.211 0.421 0.635 Sr
0.458 0.917 0.375 Al
0.792 0.584 0.376 Ir
```

=====

Entry 6:
Material: SrAl2Ir2
Method: DFT, PBEsol
State: relaxed

ΔE_f	-0.629	eV/atom
SG	I4/mmm, No. 139

Structure (POSCAR):
```
SrAl2Ir2
1.0
-0.498 -1.457 -3.878
3.154 -2.665 0.597
-4.801 -1.637 3.476
Al Ir Sr
2 2 1
Direct
0.250 0.750 0.500 Al
0.750 0.250 0.500 Al
0.382 0.382 0.765 Ir
0.618 0.618 0.235 Ir
0.000 0.000 0.000 Sr
```